A relaxed structure of YBeCF2. Source: Alexandria, functional PBE.

Unit cell a=4.235 b=5.061 c=4.235 alpha=90.00 beta=90.00 gamma=90.00
Each line ends with the local moment (μB).
Fractional coordinates of all 5 atoms:
Y (0.000, 0.000, 0.000)  0.07
Be (0.500, 0.500, 0.500)  -0.06
C (0.000, 0.500, 0.000)  0.54
F (0.000, 0.000, 0.500)  0.01
F (0.500, 0.000, 0.000)  0.00

ρ = 2.71 g/cm³
M_tot = 1.10 μB per formula unit
Uncorrected energy = -0.1963 Ha/atom
Symmetry = P4/mmm, No. 123